# NaLaSmTe3 | Alexandria via LeMat-Bulk | GGA-PBE | optimized geometry
data_NaLaSmTe3
_chemical_formula_sum 'Na2 La2 Sm2 Te6'
_cell_length_a 4.4590
_cell_length_b 9.0716
_cell_length_c 9.9932
_cell_angle_alpha 105.43
_cell_angle_beta 90.00
_cell_angle_gamma 90.00
_space_group_name_H-M_alt 'P 1'
_space_group_IT_number 1
loop_
_space_group_symop_operation_xyz
'x,y,z'
loop_
_atom_site_label
_atom_site_type_symbol
_atom_site_fract_x
_atom_site_fract_y
_atom_site_fract_z
Te1 Te 0.2500 0.5647 0.8275
Sm1 Sm 0.2500 0.6679 0.1535
Te2 Te 0.7500 0.9110 0.1192
Na1 Na 0.2500 0.0949 0.5866
Sm2 Sm 0.7500 0.3321 0.8465
Te3 Te 0.7500 0.4353 0.1725
La1 La 0.2500 0.1999 0.2307
Te4 Te 0.2500 0.0890 0.8808
Na2 Na 0.7500 0.9051 0.4134
La2 La 0.7500 0.8001 0.7693
Te5 Te 0.7500 0.2614 0.4947
Te6 Te 0.2500 0.7386 0.5053
# Uncorrected formation energy   -1267 meV per atom
# Density of states at the Fermi level   6.5 states/eV per cell
# Calculated density   5.92 g cm⁻³
# Calculated total energy   -4.666 eV/atom